# 1
LiAlFe4: optimized geometry, PBE.

## Properties
Calculated total energy (eV per atom): -6.530
Calculated density (g cm⁻³): 5.796
Crystal system: cubic
Symmetry: No. 216

Lattice parameters (Å, degrees): 4.706 4.706 4.706 60.00 60.00 60.00
Sites, in units of the cell vectors:
Li (0.750, 0.750, 0.750)
Al (0.000, 0.000, 0.000)
Fe (0.874, 0.375, 0.375)
Fe (0.375, 0.375, 0.874)
Fe (0.375, 0.874, 0.375)
Fe (0.375, 0.375, 0.375)

# 2
Li2Al5Fe2: optimized geometry, PBE.

## Properties
Calculated total energy (eV per atom): -4.443
Calculated density (g cm⁻³): 3.032
Crystal system: orthorhombic
Symmetry: No. 64

Lattice parameters (Å, degrees): 5.826 5.834 8.884 90.00 70.86 90.00
Sites, in units of the cell vectors:
Li (0.239, 0.000, 0.523)
Li (0.739, 0.500, 0.523)
Li (0.761, 0.000, 0.477)
Li (0.261, 0.500, 0.477)
Al (0.000, 0.000, 0.000)
Al (0.500, 0.500, 0.000)
Al (0.437, 0.179, 0.773)
Al (0.790, 0.821, 0.773)
Al (0.290, 0.679, 0.773)
Al (0.937, 0.321, 0.773)
Al (0.563, 0.821, 0.227)
Al (0.210, 0.179, 0.227)
Al (0.710, 0.321, 0.227)
Al (0.063, 0.679, 0.227)
Fe (0.131, 0.369, 0.000)
Fe (0.869, 0.631, 0.000)
Fe (0.369, 0.869, 0.000)
Fe (0.631, 0.131, 0.000)

# 3
Li2AlFe: optimized geometry, PBE.

## Properties
Calculated total energy (eV per atom): -3.838
Calculated density (g cm⁻³): 2.741
Crystal system: tetragonal
Symmetry: No. 123

Lattice parameters (Å, degrees): 2.613 2.613 8.582 90.00 90.00 90.00
Sites, in units of the cell vectors:
Al (0.500, 0.500, 0.250)
Fe (0.500, 0.500, 0.750)
Li (0.000, 0.000, 0.993)
Li (0.000, 0.000, 0.507)

# 4
Li2AlFe: optimized geometry, PBE.

## Properties
Calculated total energy (eV per atom): -4.018
Calculated density (g cm⁻³): 2.727
Crystal system: tetragonal
Symmetry: No. 99

Lattice parameters (Å, degrees): 2.696 2.696 8.103 90.00 90.00 90.00
Sites, in units of the cell vectors:
Al (0.000, 0.000, 0.524)
Fe (0.500, 0.500, 0.736)
Li (0.000, 0.000, 0.974)
Li (0.500, 0.500, 0.266)

# 5
Li2AlFe: optimized geometry, PBE.

## Properties
Calculated total energy (eV per atom): -4.007
Calculated density (g cm⁻³): 2.952
Crystal system: orthorhombic
Symmetry: No. 47

Lattice parameters (Å, degrees): 2.748 4.292 4.612 90.00 90.00 90.00
Sites, in units of the cell vectors:
Al (0.500, 0.000, 0.500)
Fe (0.000, 0.500, 0.500)
Li (0.000, 0.000, 0.000)
Li (0.500, 0.500, 0.000)

# 6
LiAl2Fe: optimized geometry, PBE.

## Properties
Calculated total energy (eV per atom): -4.118
Calculated density (g cm⁻³): 2.988
Crystal system: tetragonal
Symmetry: No. 122

Lattice parameters (Å, degrees): 3.845 3.845 9.189 77.93 77.93 90.00
Sites, in units of the cell vectors:
Li (0.500, 0.500, 0.000)
Li (0.250, 0.750, 0.500)
Fe (0.000, 0.000, 0.000)
Fe (0.750, 0.250, 0.500)
Al (0.640, 0.125, 0.250)
Al (0.110, 0.625, 0.250)
Al (0.375, 0.360, 0.750)
Al (0.875, 0.890, 0.750)